[1]
Below is Pm3GeF2 after structural relaxation, with properties calculated at the PBE level.

Cell lengths 3.9069, 5.0498, 12.9531 Å; angles 90.00, 90.00, 90.00 degrees
Sites, in units of the cell vectors:
Ge1 0.7377 0.5000 0.5000
Ge2 0.2623 0.0000 0.0000
Pm1 0.7446 0.0000 0.1784
Pm2 0.8017 0.5000 0.0000
Pm3 0.2554 0.5000 0.6784
Pm4 0.1983 0.0000 0.5000
Pm5 0.7446 0.0000 0.8216
Pm6 0.2554 0.5000 0.3216
F1 0.7600 0.5000 0.8096
F2 0.2400 0.0000 0.6904
F3 0.2400 0.0000 0.3096
F4 0.7600 0.5000 0.1904

Output
Its formation energy (no corrections) is -1.877 eV per atom. The calculation puts the final energy at -5.65 eV/atom. For the magnetization, the calculation gives 0.000 μB/atom.

---

[2]
Below is In4AsPb after structural relaxation, with properties calculated at the PBE level.

Cell lengths 6.1802, 6.1802, 6.1802 Å; angles 60.00, 60.00, 60.00 degrees
Sites, in units of the cell vectors:
In1 0.3746 0.3746 0.8761
In2 0.3746 0.3746 0.3746
In3 0.8761 0.3746 0.3746
In4 0.3746 0.8761 0.3746
Pb1 0.7500 0.7500 0.7500
As1 0.0000 0.0000 0.0000

Output
Its formation enthalpy at 0 K is 24 kJ per mole of atoms. The calculation puts the final energy at -2.97 eV/atom. For the magnetization, the calculation gives 0.000 μB/atom.

---

[3]
Below is TiBe3W after structural relaxation, with properties calculated at the PBE level.

Cell lengths 4.2218, 4.2218, 4.2218 Å; angles 90.00, 90.00, 90.00 degrees
Sites, in units of the cell vectors:
W1 0.0000 0.0000 0.0000
Be1 0.0000 0.0000 0.5000
Be2 0.5000 0.0000 0.0000
Be3 0.0000 0.5000 0.0000
Ti1 0.5000 0.5000 0.5000

Output
Its formation enthalpy at 0 K is 103 kJ per mole of atoms. The calculation puts the final energy at -5.34 eV/atom. For the magnetization, the calculation gives 0.000 μB/atom. For the energy above the most stable polymorph in this dataset, the calculation gives 0 meV/atom.

---

The lowest final energy belongs to which entry?
Pm3GeF2

---

Please write out number 3 again, unchanged.
Below is TiBe3W after structural relaxation, with properties calculated at the PBE level.

Cell lengths 4.2218, 4.2218, 4.2218 Å; angles 90.00, 90.00, 90.00 degrees
Sites, in units of the cell vectors:
W1 0.0000 0.0000 0.0000
Be1 0.0000 0.0000 0.5000
Be2 0.5000 0.0000 0.0000
Be3 0.0000 0.5000 0.0000
Ti1 0.5000 0.5000 0.5000

Output
Its formation enthalpy at 0 K is 103 kJ per mole of atoms. The calculation puts the final energy at -5.34 eV/atom. For the magnetization, the calculation gives 0.000 μB/atom. For the energy above the most stable polymorph in this dataset, the calculation gives 0 meV/atom.

---

Among the records above, which one has the highest final energy?
In4AsPb